[1]
Crystalline Ba2CaHg3 at its relaxed geometry. Source: the Alexandria database, functional PBE-GGA.

Calculated values
The formation energy from the elements comes out at -513 meV/atom. The calculation puts the volume at 33.72 Å³/atom. As for the spin magnetization: 0.000 μB per cell. The density is 7.52 g cm⁻³. The calculated total energy comes out at -9.8 eV/f.u.

a = 4.080 Å, b = 4.080 Å, c = 12.153 Å
α = 90.00°, β = 90.00°, γ = 90.00°
Positions (direct):
Ba 0.000 0.000 0.178
Ba 0.000 0.000 0.822
Ca 0.000 0.000 0.500
Hg 0.500 0.500 0.000
Hg 0.500 0.500 0.358
Hg 0.500 0.500 0.642

[2]
Crystalline BaCaHg3 at its relaxed geometry. Source: the Alexandria database, functional PBE-GGA.

Calculated values
The formation energy from the elements comes out at -498 meV/atom. The calculation puts the volume at 31.64 Å³/atom. As for the spin magnetization: 0.000 μB per cell. Its relative energy among the computed polymorphs is 0 meV/atom. The density is 8.18 g cm⁻³. The calculated total energy comes out at -7.3 eV/f.u.

a = 15.415 Å, b = 15.415 Å, c = 4.973 Å
α = 90.00°, β = 90.00°, γ = 164.47°
Positions (direct):
Ba 0.077 0.923 0.750
Ba 0.923 0.077 0.250
Ca 0.209 0.791 0.250
Ca 0.791 0.209 0.750
Hg 0.313 0.687 0.250
Hg 0.373 0.627 0.750
Hg 0.474 0.526 0.750
Hg 0.526 0.474 0.250
Hg 0.627 0.373 0.250
Hg 0.687 0.313 0.750